No. 1
The following is a GGA-PBE calculation of crystalline Sm3Er5Th at its relaxed geometry, from Alexandria via LeMat-Bulk.

## Properties
V: 570.0 Å³ per cell
DFT formation energy: 0.56 eV/f.u.
crystal system: hexagonal
raw total energy: -43.8 eV per formula unit

abc: 9.6979 9.6979 6.9985
angles: 90.00 90.00 120.00
Space group P6_3/mcm (No. 193)
Symmetry-distinct sites (fractional):
1 Sm 0.0000 0.3360 0.2500 (multiplicity 6)
2 Er 0.0000 0.3306 0.7500 (multiplicity 6)
3 Er 0.3333 0.6667 0.0000 (multiplicity 4)
4 Th 0.0000 0.0000 0.0000 (multiplicity 2)



No. 2
The following is a GGA-PBE calculation of crystalline Ca2Mn2Rh at its relaxed geometry, from Alexandria via LeMat-Bulk.

## Properties
V: 214.4 Å³ per cell
DFT formation energy: 1.00 eV/f.u.
energy relative to the lowest polymorph listed for this composition: 0.000 eV per formula unit
crystal system: tetragonal
raw total energy: -28.7 eV per formula unit

abc: 6.629 6.629 4.878
angles: 90.00 90.00 90.00
Space group P4/mbm (No. 127)
Symmetry-distinct sites (fractional):
1 Ca 0.181 0.319 0.000 (multiplicity 4)
2 Mn 0.141 0.641 0.500 (multiplicity 4)
3 Rh 0.000 0.000 0.500 (multiplicity 2)



No. 3
The following is a GGA-PBE calculation of crystalline CrCdNi2 at its relaxed geometry, from Alexandria via LeMat-Bulk.

## Properties
V: 241.1 Å³ per cell
DFT formation energy: 2.26 eV/f.u.
crystal system: tetragonal
raw total energy: -19.8 eV per formula unit

abc: 6.717 6.717 5.344
angles: 90.00 90.00 90.00
Space group I-42d (No. 122)
Symmetry-distinct sites (fractional):
1 Cr 0.000 0.000 0.000 (multiplicity 4)
2 Cd 0.000 0.000 0.500 (multiplicity 4)
3 Ni 0.220 0.250 0.125 (multiplicity 8)



No. 4
The following is a GGA-PBE calculation of crystalline Dy4ErAg at its relaxed geometry, from Alexandria via LeMat-Bulk.

## Properties
V: 716.0 Å³ per cell
DFT formation energy: 0.27 eV/f.u.
energy relative to the lowest polymorph listed for this composition: 0.744 eV per formula unit
crystal system: orthorhombic
raw total energy: -25.6 eV per formula unit

abc: 5.414 20.691 6.392
angles: 90.00 90.00 90.00
Space group Cmc2_1 (No. 36)
Symmetry-distinct sites (fractional):
1 Dy 0.000 0.035 0.000 (multiplicity 4)
2 Dy 0.000 0.177 0.808 (multiplicity 4)
3 Dy 0.000 0.244 0.293 (multiplicity 4)
4 Dy 0.000 0.435 0.169 (multiplicity 4)
5 Er 0.000 0.365 0.666 (multiplicity 4)
6 Ag 0.000 0.104 0.410 (multiplicity 4)



No. 5
The following is a GGA-PBE calculation of crystalline Na2AlAgSb2 at its relaxed geometry, from Alexandria via LeMat-Bulk.

## Properties
V: 617.3 Å³ per cell
crystal system: orthorhombic
raw total energy: -19.4 eV per formula unit
raw formation energy: -1.90 eV/f.u.

abc: 6.188 15.064 6.622
angles: 90.00 90.00 90.00
Space group Ibam (No. 72)
Symmetry-distinct sites (fractional):
1 Na 0.219 0.170 0.000 (multiplicity 8)
2 Al 0.000 0.500 0.250 (multiplicity 4)
3 Ag 0.000 0.000 0.250 (multiplicity 4)
4 Sb 0.220 0.385 0.000 (multiplicity 8)



No. 6
The following is a GGA-PBE calculation of crystalline NaLuInGa at its relaxed geometry, from Alexandria via LeMat-Bulk.

## Properties
V: 377.1 Å³ per cell
DFT formation energy: -0.89 eV/f.u.
crystal system: cubic
raw total energy: -12.5 eV per formula unit

abc: 7.225 7.225 7.225
angles: 90.00 90.00 90.00
Space group F-43m (No. 216)
Symmetry-distinct sites (fractional):
1 Na 0.000 0.000 0.000 (multiplicity 4)
2 Lu 0.000 0.000 0.500 (multiplicity 4)
3 In 0.250 0.250 0.250 (multiplicity 4)
4 Ga 0.250 0.250 0.750 (multiplicity 4)